A plane-wave DFT calculation with PBE-GGA was carried out for crystalline Be2ReSb at its relaxed geometry. Values from VASP.

Summary:
E	-5.252	eV/atom

The structure in Quantum ESPRESSO input format:
```
&SYSTEM
  ibrav = 0, nat = 4, ntyp = 3
/
ATOMIC_SPECIES
Re 186.21 Re.upf
Be 9.01 Be.upf
Sb 121.76 Sb.upf
CELL_PARAMETERS angstrom
4.3211 0.0000 0.0000
2.1606 3.7422 0.0000
2.1606 1.2474 3.5282
ATOMIC_POSITIONS angstrom
Re 4.3211 2.4948 1.7641
Be 0.0000 0.0000 0.0000
Be 2.1606 1.2474 0.8820
Sb 6.4817 3.7422 2.6461
```



A plane-wave DFT calculation with PBE-GGA was carried out for crystalline Tb5Y4Sc4 at its relaxed geometry. Values from VASP.

Summary:
calculated formation energy	0.0470	eV/atom

The structure in Quantum ESPRESSO input format:
```
&SYSTEM
  ibrav = 0, nat = 13, ntyp = 3
/
ATOMIC_SPECIES
Tb 158.93 Tb.upf
Y 88.91 Y.upf
Sc 44.96 Sc.upf
CELL_PARAMETERS angstrom
4.7635 0.0000 1.2111
2.3818 8.8500 0.6056
0.2010 0.0000 9.1827
ATOMIC_POSITIONS angstrom
Tb 5.4759 7.5437 8.3827
Tb 1.8704 1.3063 2.6167
Tb 0.0000 0.0000 0.0000
Tb 4.4417 6.7749 2.4772
Tb 2.9047 2.0751 8.5222
Y 5.6221 4.0797 7.8075
Y 3.7582 2.6686 5.1651
Y 1.7242 4.7703 3.1919
Y 3.5881 6.1814 5.8343
Sc 4.5949 3.4235 1.8744
Sc 2.7514 5.4265 9.1250
Sc 6.3017 8.1657 5.1347
Sc 1.0446 0.6844 5.8647
```



A plane-wave DFT calculation with PBE-GGA was carried out for crystalline BCI2 at its relaxed geometry. Values from VASP.

Summary:
polymorph energy (0 for the lowest one)	0.411	eV per atom

The structure in Quantum ESPRESSO input format:
```
&SYSTEM
  ibrav = 0, nat = 4, ntyp = 3
/
ATOMIC_SPECIES
I 126.90 I.upf
C 12.01 C.upf
B 10.81 B.upf
CELL_PARAMETERS angstrom
3.7352 -2.6517 -1.4306
0.7401 -4.3356 1.9196
-0.7268 -3.9457 -2.6330
ATOMIC_POSITIONS angstrom
I 0.9371 -2.7333 -0.5360
I 2.8113 -8.1998 -1.6080
C 1.8742 -5.4665 -1.0720
B 0.0000 0.0000 0.0000
```



A plane-wave DFT calculation with PBE-GGA was carried out for crystalline NdGa at its relaxed geometry. Values from VASP.

Summary:
calculated formation energy	-0.5356	eV/atom

The structure in Quantum ESPRESSO input format:
```
&SYSTEM
  ibrav = 0, nat = 8, ntyp = 2
/
ATOMIC_SPECIES
Nd 144.24 Nd.upf
Ga 69.72 Ga.upf
CELL_PARAMETERS angstrom
5.7336 0.0000 0.0000
0.0000 5.8946 0.0062
0.0000 -1.0847 5.7940
ATOMIC_POSITIONS angstrom
Nd 4.3002 0.3584 3.0243
Nd 1.4334 4.4516 2.7758
Nd 4.3002 2.9058 0.9118
Nd 1.4334 1.9041 4.8883
Ga 4.3002 3.3144 3.9967
Ga 1.4334 1.4956 1.8034
Ga 2.8668 0.0000 0.0000
Ga 0.0000 0.0000 0.0000
```



A plane-wave DFT calculation with PBE-GGA was carried out for crystalline In2FeB2 at its relaxed geometry. Values from VASP.

Summary:
calculated formation energy	0.9299	eV/atom

The structure in Quantum ESPRESSO input format:
```
&SYSTEM
  ibrav = 0, nat = 5, ntyp = 3
/
ATOMIC_SPECIES
B 10.81 B.upf
Fe 55.84 Fe.upf
In 114.82 In.upf
CELL_PARAMETERS angstrom
-1.8380 2.2189 0.2918
-1.8630 -1.3079 -1.7904
-5.3183 -3.2473 5.5640
ATOMIC_POSITIONS angstrom
B -4.5034 -0.2865 2.5533
B -4.5159 -2.0498 1.5122
Fe 0.0000 0.0000 0.0000
In -2.6101 -0.3555 0.6335
In -6.4093 -1.9808 3.4319
```



A plane-wave DFT calculation with PBE-GGA was carried out for crystalline Tb3Pr8 at its relaxed geometry. Values from VASP.

Summary:
calculated formation energy	0.0152	eV/atom
polymorph energy (0 for the lowest one)	0.000	eV per atom

The structure in Quantum ESPRESSO input format:
```
&SYSTEM
  ibrav = 0, nat = 11, ntyp = 2
/
ATOMIC_SPECIES
Tb 158.93 Tb.upf
Pr 140.91 Pr.upf
CELL_PARAMETERS angstrom
-3.8160 -2.5307 -2.4230
5.8268 -2.2202 -1.3199
-3.1951 -6.0585 11.3597
ATOMIC_POSITIONS angstrom
Tb 0.0000 0.0000 0.0000
Tb 0.1312 -6.3297 0.8664
Tb -1.3155 -4.4796 6.7505
Pr -0.4152 -3.4048 -1.3280
Pr -0.7691 -7.4046 8.9449
Pr -4.1604 -6.5410 7.8459
Pr 2.9761 -4.2684 -0.2291
Pr -1.7314 -7.8969 5.4366
Pr 0.5471 -2.9124 2.1802
Pr -2.2961 -4.9650 3.2638
Pr 1.1118 -5.8443 4.3530
```



A plane-wave DFT calculation with PBE-GGA was carried out for crystalline TlAs3Au3 at its relaxed geometry. Values from VASP.

Summary:
calculated formation energy	0.1129	eV/atom

The structure in Quantum ESPRESSO input format:
```
&SYSTEM
  ibrav = 0, nat = 14, ntyp = 3
/
ATOMIC_SPECIES
Tl 204.38 Tl.upf
Au 196.97 Au.upf
As 74.92 As.upf
CELL_PARAMETERS angstrom
-5.9654 -3.0957 2.6098
4.0446 -4.7714 3.5854
0.1876 4.4307 5.6846
ATOMIC_POSITIONS angstrom
Tl -0.8666 -1.7182 5.9399
Tl 0.0000 0.0000 0.0000
Au -1.3975 1.4414 3.4947
Au 2.0692 -1.2780 3.2138
Au 0.0508 -5.1264 3.9939
Au -4.3802 -0.1064 4.7996
Au 2.1630 0.9373 6.0561
Au -1.9715 -2.7407 2.2012
As 1.1050 1.0225 3.7386
As 3.1273 -1.3632 5.5313
As -2.8420 1.7752 5.5683
As -2.4517 -4.7075 3.7500
As -2.9358 -0.4402 2.7260
As 0.5310 -3.1596 2.4452
```



A plane-wave DFT calculation with PBE-GGA was carried out for crystalline TlF3 at its relaxed geometry. Values from VASP.

Summary:
E	-3.798	eV/atom

The structure in Quantum ESPRESSO input format:
```
&SYSTEM
  ibrav = 0, nat = 16, ntyp = 2
/
ATOMIC_SPECIES
Tl 204.38 Tl.upf
F 19.00 F.upf
CELL_PARAMETERS angstrom
5.6408 0.0000 0.0000
0.0000 6.0170 0.0000
0.0000 0.0000 8.2906
ATOMIC_POSITIONS angstrom
Tl 0.0000 0.0000 4.1453
Tl 2.8204 3.0085 4.1453
Tl 2.8204 3.0085 0.0000
Tl 0.0000 0.0000 0.0000
F 2.1108 3.2107 2.0727
F 4.9312 5.8148 6.2180
F 0.7096 0.2022 2.0727
F 3.5300 2.8063 6.2180
F 1.0076 1.8777 7.7763
F 3.8280 1.1308 0.5144
F 1.8128 4.8862 4.6597
F 4.6332 4.1393 3.6309
F 1.0076 1.8777 4.6597
F 3.8280 1.1308 3.6309
F 4.6332 4.1393 0.5144
F 1.8128 4.8862 7.7763
```



A plane-wave DFT calculation with PBE-GGA was carried out for crystalline Li4Pb at its relaxed geometry. Values from VASP.

Summary:
calculated formation energy	-0.1974	eV/atom
polymorph energy (0 for the lowest one)	0.000	eV per atom

The structure in Quantum ESPRESSO input format:
```
&SYSTEM
  ibrav = 0, nat = 10, ntyp = 2
/
ATOMIC_SPECIES
Li 6.94 Li.upf
Pb 207.20 Pb.upf
CELL_PARAMETERS angstrom
-2.6335 -1.5522 4.0072
3.5511 -3.3924 1.0197
3.5152 6.0815 4.6658
ATOMIC_POSITIONS angstrom
Li 2.8568 -3.1320 3.7197
Li -1.4035 0.5080 5.4994
Li 1.5761 4.2690 5.9730
Li 5.8364 0.6290 4.1933
Li 2.1067 0.9356 6.2425
Li 4.2987 3.3689 5.4560
Li 2.3262 0.2014 3.4502
Li 0.1342 -2.2319 4.2367
Pb 0.0000 0.0000 0.0000
Pb 0.4409 2.2647 4.3365
```



A plane-wave DFT calculation with PBE-GGA was carried out for crystalline TaZnPO2 at its relaxed geometry. Values from VASP.

Summary:
polymorph energy (0 for the lowest one)	1.436	eV per atom

The structure in Quantum ESPRESSO input format:
```
&SYSTEM
  ibrav = 0, nat = 5, ntyp = 4
/
ATOMIC_SPECIES
P 30.97 P.upf
Zn 65.41 Zn.upf
O 16.00 O.upf
Ta 180.95 Ta.upf
CELL_PARAMETERS angstrom
3.7242 0.0000 0.0000
0.0000 3.7242 0.0000
0.0000 0.0000 4.8404
ATOMIC_POSITIONS angstrom
P 0.0000 0.0000 2.4202
Zn 0.0000 0.0000 0.0000
O 0.0000 1.8621 0.0000
O 1.8621 0.0000 0.0000
Ta 1.8621 1.8621 2.4202
```



A plane-wave DFT calculation with PBE-GGA was carried out for crystalline TlCd2Bi2 at its relaxed geometry. Values from VASP.

Summary:
calculated formation energy	0.0345	eV/atom
polymorph energy (0 for the lowest one)	0.027	eV per atom

The structure in Quantum ESPRESSO input format:
```
&SYSTEM
  ibrav = 0, nat = 5, ntyp = 3
/
ATOMIC_SPECIES
Tl 204.38 Tl.upf
Bi 208.98 Bi.upf
Cd 112.41 Cd.upf
CELL_PARAMETERS angstrom
4.8597 0.0000 0.0000
0.0000 4.8597 0.0000
2.4298 2.4298 6.7927
ATOMIC_POSITIONS angstrom
Tl 0.0000 0.0000 0.0000
Bi 4.8597 2.4298 3.3963
Bi 2.4298 4.8597 3.3963
Cd 2.4298 2.4298 1.3711
Cd 4.8597 4.8597 5.4216
```



A plane-wave DFT calculation with PBE-GGA was carried out for crystalline In3SnHg2Pb3 at its relaxed geometry. Values from VASP.

Summary:
calculated formation energy	0.0400	eV/atom

The structure in Quantum ESPRESSO input format:
```
&SYSTEM
  ibrav = 0, nat = 9, ntyp = 4
/
ATOMIC_SPECIES
In 114.82 In.upf
Sn 118.71 Sn.upf
Hg 200.59 Hg.upf
Pb 207.20 Pb.upf
CELL_PARAMETERS angstrom
3.3866 0.0000 0.0000
0.0000 9.3893 0.0000
0.0000 -4.6946 8.1314
ATOMIC_POSITIONS angstrom
In 0.0000 3.0259 5.2410
In 0.0000 -1.6688 2.8904
In 0.0000 3.3376 0.0000
Sn 0.0000 0.0000 0.0000
Hg 1.6933 4.6947 2.7105
Hg 1.6933 0.0000 5.4209
Pb 1.6933 6.4083 0.0000
Pb 1.6933 -3.2041 5.5497
Pb 1.6933 1.4905 2.5816
```



no.,size of the total moment (Bohr magnetons per cell)
1,0.00
2,0.00
3,0.00
4,0.00
5,0.00
6,0.00
7,0.00
8,0.00
9,0.00
10,0.00
11,0.00
12,0.00